# CsNa2GaAu PBE-GGA relaxed
data_CsNa2GaAu
_chemical_formula_sum 'Cs1 Na2 Ga1 Au1'
_space_group_name_H-M_alt 'P 4/m m m'
_space_group_IT_number 123
_space_group_name_Hall '-P 4 2'
_cell_length_a 5.906
_cell_length_b 5.906
_cell_length_c 4.940
_cell_angle_alpha 90.00
_cell_angle_beta 90.00
_cell_angle_gamma 90.00
loop_
_atom_site_label
_atom_site_type_symbol
_atom_site_fract_x
_atom_site_fract_y
_atom_site_fract_z
_atom_site_occupancy
Cs1 Cs 0.000 0.000 0.000 1
Na1 Na 0.000 0.500 0.500 1
Ga1 Ga 0.500 0.500 0.000 1
Au1 Au 0.500 0.500 0.500 1
# Energy of formation ... -144 meV/atom
# DOS at the Fermi energy ... 2.27 states/eV/f.u.
# DFT total energy ... -2.104 eV per atom